6
Lattice="0.0000 4.0746 4.0746 4.0746 0.0000 4.0746 4.0746 4.0746 0.0000" Properties=species:S:1:pos:R:3 comment="InAsP4 PBE relaxed" dos_at_fermi_per_ev_atom=0.380 delta_e_f_ev_per_atom=0.505 sg="No. 216" crystal_system=cubic final_energy_ev_per_cell=-26.00 pbc="T T T"
In 0.0000 0.0000 0.0000
As 2.0373 2.0373 2.0373
P 4.8646 3.2847 3.2847
P 3.2847 4.8646 3.2847
P 3.2847 3.2847 4.8646
P 4.8646 4.8646 4.8646